The following is a GGA-PBE calculation of a relaxed Pm3Ho5Bi12 crystal, from Alexandria.

Computed properties:
symmetry	No. 230
formation energy	-210	meV per atom

abc: 15.9464 15.9464 15.9464
angles: 109.47 109.47 109.47
With the nearest neighbours (Å) after each atom.
Atoms (fractional coordinates):
1 Pm 0.1250 0.2500 0.3750  8 Bi 3.17-3.50
2 Pm 0.1250 0.3750 0.7500  8 Bi 3.17-3.50
3 Pm 0.2500 0.3750 0.1250  8 Bi 3.17-3.50
4 Pm 0.2500 0.8750 0.6250  8 Bi 3.17-3.50
5 Pm 0.3750 0.1250 0.2500  8 Bi 3.17-3.50
6 Pm 0.3750 0.7500 0.1250  8 Bi 3.17-3.50
7 Pm 0.6250 0.2500 0.8750  8 Bi 3.17-3.50
8 Pm 0.6250 0.8750 0.7500  8 Bi 3.17-3.50
9 Pm 0.7500 0.1250 0.3750  8 Bi 3.17-3.50
10 Pm 0.7500 0.6250 0.8750  8 Bi 3.17-3.50
11 Pm 0.8750 0.6250 0.2500  8 Bi 3.17-3.50
12 Pm 0.8750 0.7500 0.6250  8 Bi 3.17-3.50
13 Ho 0.0000 0.0000 0.0000  6 Bi 3.24
14 Ho 0.0000 0.0000 0.5000  6 Bi 3.24
15 Ho 0.0000 0.5000 0.0000  6 Bi 3.24
16 Ho 0.0000 0.5000 0.5000  6 Bi 3.24
17 Ho 0.1250 0.7500 0.8750  4 Bi 3.03
18 Ho 0.1250 0.8750 0.2500  4 Bi 3.03
19 Ho 0.2500 0.1250 0.8750  4 Bi 3.03
20 Ho 0.2500 0.6250 0.3750  4 Bi 3.03
21 Ho 0.3750 0.2500 0.6250  4 Bi 3.03
22 Ho 0.3750 0.6250 0.7500  4 Bi 3.03
23 Ho 0.5000 0.0000 0.0000  6 Bi 3.24
24 Ho 0.5000 0.0000 0.5000  6 Bi 3.24
25 Ho 0.5000 0.5000 0.0000  6 Bi 3.24
26 Ho 0.5000 0.5000 0.5000  6 Bi 3.24
27 Ho 0.6250 0.3750 0.2500  4 Bi 3.03
28 Ho 0.6250 0.7500 0.3750  4 Bi 3.03
29 Ho 0.7500 0.3750 0.6250  4 Bi 3.03
30 Ho 0.7500 0.8750 0.1250  4 Bi 3.03
31 Ho 0.8750 0.1250 0.7500  4 Bi 3.03
32 Ho 0.8750 0.2500 0.1250  4 Bi 3.03
33 Bi 0.0634 0.2367 0.1370  2 Ho 3.03-3.24, 1 Pm 3.17, 1 Bi 3.35
34 Bi 0.0634 0.3268 0.9265  2 Ho 3.03-3.24, 1 Pm 3.17, 1 Bi 3.35
35 Bi 0.0735 0.6370 0.4003  2 Ho 3.03-3.24, 1 Pm 3.17, 1 Bi 3.35
36 Bi 0.0735 0.9366 0.6732  2 Ho 3.03-3.24, 1 Pm 3.17, 1 Bi 3.35
37 Bi 0.0997 0.7367 0.6732  2 Ho 3.03-3.24, 1 Pm 3.17, 1 Bi 3.35
38 Bi 0.0997 0.8630 0.4265  2 Ho 3.03-3.24, 1 Pm 3.17, 1 Bi 3.35
39 Bi 0.1370 0.0634 0.2367  2 Ho 3.03-3.24, 1 Pm 3.17, 1 Bi 3.35
40 Bi 0.1370 0.5735 0.9003  2 Ho 3.03-3.24, 1 Pm 3.17, 1 Bi 3.35
41 Bi 0.1732 0.2367 0.5997  2 Ho 3.03-3.24, 1 Pm 3.17, 1 Bi 3.35
42 Bi 0.1732 0.4366 0.5735  2 Ho 3.03-3.24, 1 Pm 3.17, 1 Bi 3.35
43 Bi 0.2367 0.1370 0.0634  2 Ho 3.03-3.24, 1 Pm 3.17, 1 Bi 3.35
44 Bi 0.2367 0.5997 0.1732  2 Ho 3.03-3.24, 1 Pm 3.17, 1 Bi 3.35
45 Bi 0.2633 0.3268 0.9003  2 Ho 3.03-3.24, 1 Pm 3.17, 1 Bi 3.35
46 Bi 0.2633 0.4366 0.3630  2 Ho 3.03-3.24, 1 Pm 3.17, 1 Bi 3.35
47 Bi 0.3268 0.9003 0.2633  2 Ho 3.03-3.24, 1 Pm 3.17, 1 Bi 3.35
48 Bi 0.3268 0.9265 0.0634  2 Ho 3.03-3.24, 1 Pm 3.17, 1 Bi 3.35
49 Bi 0.3630 0.2633 0.4366  2 Ho 3.03-3.24, 1 Pm 3.17, 1 Bi 3.35
50 Bi 0.3630 0.5997 0.9265  2 Ho 3.03-3.24, 1 Pm 3.17, 1 Bi 3.35
51 Bi 0.4003 0.0735 0.6370  2 Ho 3.03-3.24, 1 Pm 3.17, 1 Bi 3.35
52 Bi 0.4003 0.8268 0.7633  2 Ho 3.03-3.24, 1 Pm 3.17, 1 Bi 3.35
53 Bi 0.4265 0.0997 0.8630  2 Ho 3.03-3.24, 1 Pm 3.17, 1 Bi 3.35
54 Bi 0.4265 0.8268 0.5634  2 Ho 3.03-3.24, 1 Pm 3.17, 1 Bi 3.35
55 Bi 0.4366 0.3630 0.2633  2 Ho 3.03-3.24, 1 Pm 3.17, 1 Bi 3.35
56 Bi 0.4366 0.5735 0.1732  2 Ho 3.03-3.24, 1 Pm 3.17, 1 Bi 3.35
57 Bi 0.5634 0.4265 0.8268  2 Ho 3.03-3.24, 1 Pm 3.17, 1 Bi 3.35
58 Bi 0.5634 0.6370 0.7367  2 Ho 3.03-3.24, 1 Pm 3.17, 1 Bi 3.35
59 Bi 0.5735 0.1732 0.4366  2 Ho 3.03-3.24, 1 Pm 3.17, 1 Bi 3.35
60 Bi 0.5735 0.9003 0.1370  2 Ho 3.03-3.24, 1 Pm 3.17, 1 Bi 3.35
61 Bi 0.5997 0.1732 0.2367  2 Ho 3.03-3.24, 1 Pm 3.17, 1 Bi 3.35
62 Bi 0.5997 0.9265 0.3630  2 Ho 3.03-3.24, 1 Pm 3.17, 1 Bi 3.35
63 Bi 0.6370 0.4003 0.0735  2 Ho 3.03-3.24, 1 Pm 3.17, 1 Bi 3.35
64 Bi 0.6370 0.7367 0.5634  2 Ho 3.03-3.24, 1 Pm 3.17, 1 Bi 3.35
65 Bi 0.6732 0.0735 0.9366  2 Ho 3.03-3.24, 1 Pm 3.17, 1 Bi 3.35
66 Bi 0.6732 0.0997 0.7367  2 Ho 3.03-3.24, 1 Pm 3.17, 1 Bi 3.35
67 Bi 0.7367 0.5634 0.6370  2 Ho 3.03-3.24, 1 Pm 3.17, 1 Bi 3.35
68 Bi 0.7367 0.6732 0.0997  2 Ho 3.03-3.24, 1 Pm 3.17, 1 Bi 3.35
69 Bi 0.7633 0.4003 0.8268  2 Ho 3.03-3.24, 1 Pm 3.17, 1 Bi 3.35
70 Bi 0.7633 0.8630 0.9366  2 Ho 3.03-3.24, 1 Pm 3.17, 1 Bi 3.35
71 Bi 0.8268 0.5634 0.4265  2 Ho 3.03-3.24, 1 Pm 3.17, 1 Bi 3.35
72 Bi 0.8268 0.7633 0.4003  2 Ho 3.03-3.24, 1 Pm 3.17, 1 Bi 3.35
73 Bi 0.8630 0.4265 0.0997  2 Ho 3.03-3.24, 1 Pm 3.17, 1 Bi 3.35
74 Bi 0.8630 0.9366 0.7633  2 Ho 3.03-3.24, 1 Pm 3.17, 1 Bi 3.35
75 Bi 0.9003 0.1370 0.5735  2 Ho 3.03-3.24, 1 Pm 3.17, 1 Bi 3.35
76 Bi 0.9003 0.2633 0.3268  2 Ho 3.03-3.24, 1 Pm 3.17, 1 Bi 3.35
77 Bi 0.9265 0.0634 0.3268  2 Ho 3.03-3.24, 1 Pm 3.17, 1 Bi 3.35
78 Bi 0.9265 0.3630 0.5997  2 Ho 3.03-3.24, 1 Pm 3.17, 1 Bi 3.35
79 Bi 0.9366 0.6732 0.0735  2 Ho 3.03-3.24, 1 Pm 3.17, 1 Bi 3.35
80 Bi 0.9366 0.7633 0.8630  2 Ho 3.03-3.24, 1 Pm 3.17, 1 Bi 3.35